(1)
## MgBe2Sn2 (PBE)

Data for an optimized crystal structure of MgBe2Sn2.

Summary:
Energy of formation = 0.3205 eV per atom
Total energy = -3.09 eV/atom

a = 4.177 Å, b = 4.177 Å, c = 11.187 Å
α = 90.00°, β = 90.00°, γ = 90.00°
Space group I4/mmm (No. 139)
Symmetry-distinct sites (fractional):
Mg 0.000 0.000 0.000
Be 0.000 0.500 0.250
Sn 0.000 0.000 0.374



(2)
## MgBe3Sn (PBE)

Data for an optimized crystal structure of MgBe3Sn.

Summary:
Energy of formation = 1.1497 eV per atom
Total energy = -2.21 eV/atom
Distance to the lowest polymorph of the same formula = 0.000 eV/atom

a = 4.668 Å, b = 4.668 Å, c = 4.668 Å
α = 90.00°, β = 90.00°, γ = 90.00°
Space group Pm-3m (No. 221)
Symmetry-distinct sites (fractional):
Mg 0.000 0.000 0.000
Be 0.000 0.500 0.500
Sn 0.500 0.500 0.500



(3)
## Mg2Be2Sn (PBE)

Data for an optimized crystal structure of Mg2Be2Sn.

Summary:
Energy of formation = 0.1547 eV per atom
Total energy = -2.77 eV/atom

a = 6.396 Å, b = 6.396 Å, c = 4.147 Å
α = 90.00°, β = 90.00°, γ = 90.00°
Space group P4/mbm (No. 127)
Symmetry-distinct sites (fractional):
Mg 0.165 0.335 0.000
Be 0.118 0.618 0.500
Sn 0.000 0.000 0.500



(4)
## Mg2BeSn (PBE)

Data for an optimized crystal structure of Mg2BeSn.

Summary:
Energy of formation = 0.2613 eV per atom
Total energy = -2.47 eV/atom
Distance to the lowest polymorph of the same formula = 0.000 eV/atom

a = 6.815 Å, b = 6.815 Å, c = 6.815 Å
α = 90.00°, β = 90.00°, γ = 90.00°
Space group Fm-3m (No. 225)
Symmetry-distinct sites (fractional):
Mg 0.250 0.250 0.250
Be 0.000 0.000 0.000
Sn 0.000 0.000 0.500



(5)
## MgBe3Sn (PBE)

Data for an optimized crystal structure of MgBe3Sn.

Summary:
Energy of formation = 1.3205 eV per atom
Total energy = -2.03 eV/atom
Distance to the lowest polymorph of the same formula = 0.171 eV/atom

a = 4.545 Å, b = 4.545 Å, c = 4.545 Å
α = 90.00°, β = 90.00°, γ = 90.00°
Space group Pm-3m (No. 221)
Symmetry-distinct sites (fractional):
Mg 0.000 0.000 0.000
Be 0.000 0.000 0.500
Sn 0.500 0.500 0.500



(6)
## SrMgBe2Sn (PBE)

Data for an optimized crystal structure of SrMgBe2Sn.

Summary:
Energy of formation = 1.6552 eV per atom
Total energy = -1.29 eV/atom

a = 5.283 Å, b = 5.283 Å, c = 5.986 Å
α = 90.00°, β = 90.00°, γ = 90.00°
Space group P4/mmm (No. 123)
Symmetry-distinct sites (fractional):
Sr 0.000 0.000 0.000
Mg 0.000 0.000 0.500
Be 0.000 0.500 0.000
Sn 0.500 0.500 0.500



(7)
## Mg2BeVSn (PBE)

Data for an optimized crystal structure of Mg2BeVSn.

Summary:
Energy of formation = 1.3029 eV per atom
Total energy = -2.70 eV/atom

a = 5.132 Å, b = 5.132 Å, c = 5.038 Å
α = 90.00°, β = 90.00°, γ = 90.00°
Space group P4/mmm (No. 123)
Symmetry-distinct sites (fractional):
Mg 0.000 0.500 0.000
Be 0.000 0.000 0.500
V 0.500 0.500 0.500
Sn 0.500 0.500 0.000



(8)
## SrMg2Be (PBE)

Data for an optimized crystal structure of SrMg2Be.

Summary:
Energy of formation = 0.4950 eV per atom
Total energy = -1.65 eV/atom

a = 6.164 Å, b = 11.376 Å, c = 3.374 Å
α = 90.00°, β = 119.09°, γ = 90.00°
Space group C2/m (No. 12)
Symmetry-distinct sites (fractional):
Sr 0.000 0.000 0.000
Mg 0.250 0.250 0.500
Be 0.000 0.500 0.000



(9)
## SrMgBe (PBE)

Data for an optimized crystal structure of SrMgBe.

Summary:
Energy of formation = 0.3536 eV per atom
Total energy = -1.98 eV/atom
Distance to the lowest polymorph of the same formula = 0.027 eV/atom

a = 3.532 Å, b = 3.532 Å, c = 11.988 Å
α = 90.00°, β = 90.00°, γ = 90.00°
Space group I4mm (No. 107)
Symmetry-distinct sites (fractional):
Sr 0.000 0.000 0.000
Mg 0.000 0.000 0.277
Be 0.000 0.000 0.679



(10)
## SrMgBe (PBE)

Data for an optimized crystal structure of SrMgBe.

Summary:
Energy of formation = 0.3269 eV per atom
Total energy = -2.01 eV/atom
Distance to the lowest polymorph of the same formula = 0.000 eV/atom

a = 4.7014 Å, b = 4.7014 Å, c = 4.2650 Å
α = 90.00°, β = 90.00°, γ = 120.00°
Space group P-6m2 (No. 187)
Symmetry-distinct sites (fractional):
Sr 0.0000 0.0000 0.0000
Mg 0.3333 0.6667 0.5000
Be 0.6667 0.3333 0.5000



(11)
## SrMg2Be (PBE)

Data for an optimized crystal structure of SrMg2Be.

Summary:
Energy of formation = 0.2887 eV per atom
Total energy = -1.86 eV/atom

a = 5.050 Å, b = 5.194 Å, c = 7.306 Å
α = 90.00°, β = 90.00°, γ = 90.00°
Space group Imm2 (No. 44)
Symmetry-distinct sites (fractional):
Sr 0.000 0.000 0.000
Mg 0.000 0.000 0.508
Mg 0.000 0.500 0.759
Be 0.000 0.500 0.239



(12)
## SrMgBe (PBE)

Data for an optimized crystal structure of SrMgBe.

Summary:
Energy of formation = 0.7148 eV per atom
Total energy = -1.62 eV/atom
Distance to the lowest polymorph of the same formula = 0.388 eV/atom

a = 7.089 Å, b = 7.089 Å, c = 7.089 Å
α = 90.00°, β = 90.00°, γ = 90.00°
Space group F-43m (No. 216)
Symmetry-distinct sites (fractional):
Sr 0.000 0.000 0.000
Mg 0.250 0.250 0.250
Be 0.000 0.000 0.500